[1]
VASP calculation (PBE) on Te2IrBr after structural relaxation.

Geometry as POSCAR:
```
Te2IrBr
1.0
-13.9436 11.6263 0.3345
-3.3189 -3.9527 -0.9640
3.6559 -4.1161 4.2905
Ir Te Br
4 8 4
Direct
0.9159 0.5000 0.0818
0.5841 0.0000 0.4182
0.4159 0.0000 0.5818
0.0841 0.5000 0.9182
0.4287 0.7254 0.2868
0.0713 0.7746 0.5722
0.5713 0.7254 0.0722
0.9287 0.2254 0.4278
0.5713 0.2746 0.7132
0.4287 0.2746 0.9278
0.0713 0.2254 0.2132
0.9287 0.7746 0.7868
0.2499 0.2495 0.0741
0.7501 0.7505 0.9259
0.2501 0.7495 0.4259
0.7499 0.2505 0.5741
```

Values from the calculation:
Raw formation energy = -0.22 eV per atom
Excess energy over the best structure of this formula in the dataset = 49 meV/atom
Calculated total energy = -70.72 eV per cell

***

[2]
VASP calculation (PBE) on KScPt2 after structural relaxation.

Geometry as POSCAR:
```
KScPt2
1.0
-1.7396 -2.2823 0.6358
4.2088 -2.8439 1.3072
-0.3998 1.6841 4.9513
Pt Sc K
2 1 1
Direct
0.0000 0.5000 0.5000
0.0000 0.0000 0.0000
0.5000 0.5000 0.0000
0.5000 0.0000 0.5000
```

Values from the calculation:
Energy of formation from the pure elements = -24 kJ/mol of atoms
Calculated total energy = -20.53 eV per cell

***

[3]
VASP calculation (PBE) on Th4C2NO after structural relaxation.

Geometry as POSCAR:
```
Th4C2NO
1.0
3.7270 0.0000 0.0000
0.0000 6.3886 -0.1070
0.0000 2.2643 6.0545
N Th C O
1 4 2 1
Direct
0.0000 0.5000 0.5000
0.0000 0.2470 0.2542
0.0000 0.7530 0.7458
0.5000 0.7498 0.2532
0.5000 0.2502 0.7468
0.5000 0.0000 0.5000
0.0000 0.0000 0.0000
0.5000 0.5000 0.0000
```

Values from the calculation:
Raw formation energy = -1.29 eV per atom
Calculated total energy = -71.71 eV per cell

***

[4]
VASP calculation (PBE) on La8Y3Er2 after structural relaxation.

Geometry as POSCAR:
```
La8Y3Er2
1.0
-5.0562 3.0477 1.7949
-1.4561 -2.1617 8.6463
2.7698 7.7403 3.7374
La Y Er
8 3 2
Direct
0.8842 0.1398 0.1398
0.3505 0.4016 0.9239
0.2651 0.5860 0.5860
0.6495 0.5984 0.0761
0.3505 0.9239 0.4016
0.1158 0.8602 0.8602
0.6495 0.0761 0.5984
0.7349 0.4140 0.4140
0.0000 0.7271 0.2729
0.5000 0.0000 0.0000
0.0000 0.2729 0.7271
0.3177 0.3146 0.3146
0.6823 0.6854 0.6854
```

Values from the calculation:
Excess energy over the best structure of this formula in the dataset = 0 meV/atom
Energy of formation from the pure elements = 13 kJ/mol of atoms
Calculated total energy = -66.13 eV per cell

***

- Among the records above, which one has the lowest calculated total energy?
  Th4C2NO

***

- Number 1 is which compound?
  Te2IrBr